No. 1
Material: La3TaTe
Method: DFT, SCAN
State: PBEsol geometry

For the total magnetization, the calculation gives 0.00 μB/cell. As for the density: 7.32 Mg/m³. Its uncorrected formation energy is -0.44 eV per formula unit.

It has space group Pm-3m (No. 221), with a = 5.479 Å, b = 5.479 Å, c = 5.479 Å, α = 90.00°, β = 90.00° and γ = 90.00°. The inequivalent atoms are La at (0.000, 0.000, 0.500), Ta at (0.000, 0.000, 0.000) and Te at (0.500, 0.500, 0.500).

No. 2
Material: Cs2In2Se
Method: DFT, SCAN
State: PBEsol geometry

For the total magnetization, the calculation gives 0.00 μB/cell. As for the density: 4.82 Mg/m³. Its uncorrected formation energy is 0.54 eV per formula unit.

It has space group I4/mmm (No. 139), with a = 4.966 Å, b = 4.966 Å, c = 16.042 Å, α = 90.00°, β = 90.00° and γ = 90.00°. The inequivalent atoms are Cs at (0.000, 0.500, 0.250), In at (0.000, 0.000, 0.083) and Se at (0.000, 0.000, 0.500).